(1)
A plane-wave DFT calculation with SCAN was carried out for a PBEsol-optimized structure of CdAgIrC2.

formation energy: 1178 meV per atom

Cell: 3.882 3.882 5.430 Å, 90.00 90.00 90.00°
Space group P4/mmm (No. 123)
Unique sites:
1 Cd 0.000 0.000 0.000
2 Ag 0.500 0.500 0.000
3 Ir 0.500 0.500 0.500
4 C 0.000 0.500 0.500

***

(2)
A plane-wave DFT calculation with SCAN was carried out for a PBEsol-optimized structure of LiCrOs2.

energy above the lowest structure with this stoichiometry: 0.106 eV per atom
formation energy: 165 meV per atom

Cell: 2.916 2.916 5.690 Å, 90.00 90.00 90.00°
Space group P4/mmm (No. 123)
Unique sites:
1 Li 0.000 0.000 0.000
2 Cr 0.000 0.000 0.500
3 Os 0.500 0.500 0.243

***

(3)
A plane-wave DFT calculation with SCAN was carried out for a PBEsol-optimized structure of U2SnIr2.

formation energy: -524 meV per atom

Cell: 7.575 7.575 3.482 Å, 90.00 90.00 90.00°
Space group P4/mbm (No. 127)
Unique sites:
1 U 0.168 0.332 0.000
2 Sn 0.000 0.000 0.500
3 Ir 0.134 0.634 0.500

***

(4)
A plane-wave DFT calculation with SCAN was carried out for a PBEsol-optimized structure of ReSbSeBr2.

ΔE_f (raw): 666 meV/atom

Cell: 5.022 5.022 4.747 Å, 90.00 90.00 90.00°
Space group P4/mmm (No. 123)
Unique sites:
1 Re 0.000 0.000 0.000
2 Sb 0.500 0.500 0.500
3 Se 0.000 0.000 0.500
4 Br 0.000 0.500 0.000

***

(5)
A plane-wave DFT calculation with SCAN was carried out for a PBEsol-optimized structure of CoMo2Ir.

energy above the lowest structure with this stoichiometry: 0.016 eV per atom
formation energy: -103 meV per atom

Cell: 2.694 3.784 5.333 Å, 90.00 90.00 90.00°
Space group Pmmm (No. 47)
Unique sites:
1 Co 0.000 0.000 0.000
2 Mo 0.500 0.500 0.240
3 Ir 0.000 0.000 0.500

***

(6)
A plane-wave DFT calculation with SCAN was carried out for a PBEsol-optimized structure of BeAl2Ir.

formation energy: -631 meV per atom

Cell: 3.777 3.777 7.196 Å, 90.00 90.00 90.00°
Space group I4/mmm (No. 139)
Unique sites:
1 Be 0.000 0.000 0.000
2 Al 0.000 0.500 0.250
3 Ir 0.000 0.000 0.500

***

(7)
A plane-wave DFT calculation with SCAN was carried out for a PBEsol-optimized structure of ZnAg3N.

ΔE_f (raw): 1509 meV/atom

Cell: 4.729 4.729 4.729 Å, 90.00 90.00 90.00°
Space group Pm-3m (No. 221)
Unique sites:
1 Zn 0.000 0.000 0.000
2 Ag 0.000 0.000 0.500
3 N 0.500 0.500 0.500

***

(8)
A plane-wave DFT calculation with SCAN was carried out for a PBEsol-optimized structure of TaTlNi2.

energy above the lowest structure with this stoichiometry: 0.177 eV per atom
formation energy: 200 meV per atom

Cell: 8.204 3.080 5.107 Å, 90.00 102.41 90.00°
Space group C2/m (No. 12)
Unique sites:
1 Ta 0.000 0.000 0.000
2 Tl 0.000 0.500 0.500
3 Ni 0.237 0.500 0.189

***

(9)
A plane-wave DFT calculation with SCAN was carried out for a PBEsol-optimized structure of LiMg2Pt.

energy above the lowest structure with this stoichiometry: 0.441 eV per atom
formation energy: -337 meV per atom

Cell: 3.0015 3.0015 27.5216 Å, 90.00 90.00 120.00°
Space group R-3m (No. 166, hexagonal axes)
Unique sites:
1 Li 0.0000 0.0000 0.0000
2 Mg 0.0000 0.0000 0.2418
3 Pt 0.0000 0.0000 0.5000

***

(10)
A plane-wave DFT calculation with SCAN was carried out for a PBEsol-optimized structure of LiMg2P.

formation energy: -250 meV per atom

Cell: 3.901 3.901 8.968 Å, 90.00 90.00 90.00°
Space group I-4m2 (No. 119)
Unique sites:
1 Li 0.000 0.000 0.000
2 Mg 0.000 0.000 0.500
3 Mg 0.000 0.500 0.250
4 P 0.000 0.500 0.750

***

(11)
A plane-wave DFT calculation with SCAN was carried out for a PBEsol-optimized structure of Zr2HgTe2.

ΔE_f (raw): -170 meV/atom

Cell: 4.955 4.955 11.568 Å, 90.00 90.00 90.00°
Space group I4/mmm (No. 139)
Unique sites:
1 Zr 0.000 0.000 0.125
2 Hg 0.000 0.000 0.500
3 Te 0.000 0.500 0.250

***

(12)
A plane-wave DFT calculation with SCAN was carried out for a PBEsol-optimized structure of LaTcRu2.

energy above the lowest structure with this stoichiometry: 0.000 eV per atom
formation energy: 73 meV per atom

Cell: 4.3133 4.3133 15.4297 Å, 90.00 90.00 120.00°
Space group R-3m (No. 166, hexagonal axes)
Unique sites:
1 La 0.0000 0.0000 0.0000
2 Tc 0.0000 0.0000 0.5000
3 Ru 0.0000 0.0000 0.1912

***

(13)
A plane-wave DFT calculation with SCAN was carried out for a PBEsol-optimized structure of Zr2CdMo.

formation energy: 246 meV per atom

Cell: 2.9057 2.9057 31.6830 Å, 90.00 90.00 120.00°
Space group R-3m (No. 166, hexagonal axes)
Unique sites:
1 Zr 0.0000 0.0000 0.2481
2 Cd 0.0000 0.0000 0.0000
3 Mo 0.0000 0.0000 0.5000

***

(14)
A plane-wave DFT calculation with SCAN was carried out for a PBEsol-optimized structure of TiReSbI2.

ΔE_f (raw): 1079 meV/atom

Cell: 5.400 5.400 5.042 Å, 90.00 90.00 90.00°
Space group P4/mmm (No. 123)
Unique sites:
1 Ti 0.000 0.000 0.000
2 Re 0.500 0.500 0.500
3 Sb 0.500 0.500 0.000
4 I 0.000 0.500 0.500

***

(15)
A plane-wave DFT calculation with SCAN was carried out for a PBEsol-optimized structure of ZnNi6Sb.

ΔE_f (raw): -106 meV/atom

Cell: 7.200 10.166 10.185 Å, 90.00 90.00 90.00°
Space group Cmmm (No. 65)
Unique sites:
1 Zn 0.000 0.000 0.245
2 Zn 0.000 0.251 0.000
3 Ni 0.000 0.000 0.000
4 Ni 0.000 0.000 0.500
5 Ni 0.000 0.246 0.244
6 Ni 0.000 0.500 0.000
7 Ni 0.000 0.500 0.500
8 Ni 0.245 0.127 0.121
9 Ni 0.246 0.123 0.371
10 Sb 0.000 0.250 0.500
11 Sb 0.000 0.500 0.244

***

(16)
A plane-wave DFT calculation with SCAN was carried out for a PBEsol-optimized structure of Hf2CuRe.

formation energy: -402 meV per atom

Cell: 6.447 6.447 6.447 Å, 90.00 90.00 90.00°
Space group Fm-3m (No. 225)
Unique sites:
1 Hf 0.250 0.250 0.250
2 Cu 0.000 0.000 0.000
3 Re 0.000 0.000 0.500

***

(17)
A plane-wave DFT calculation with SCAN was carried out for a PBEsol-optimized structure of FeRe2Ag.

energy above the lowest structure with this stoichiometry: 0.000 eV per atom
formation energy: 408 meV per atom

Cell: 2.714 2.714 7.695 Å, 90.00 90.00 90.00°
Space group P4mm (No. 99)
Unique sites:
1 Fe 0.000 0.000 0.000
2 Re 0.000 0.000 0.468
3 Re 0.500 0.500 0.219
4 Ag 0.500 0.500 0.747

***

(18)
A plane-wave DFT calculation with SCAN was carried out for a PBEsol-optimized structure of Ca.

energy above the lowest structure with this stoichiometry: 0.000 eV per atom
formation energy: 0 meV per atom

Cell: 3.8423 3.8423 6.3512 Å, 90.00 90.00 120.00°
Space group P6_3/mmc (No. 194)
Unique sites:
1 Ca 0.3333 0.6667 0.2500

***

(19)
A plane-wave DFT calculation with SCAN was carried out for a PBEsol-optimized structure of CaZr2Br.

ΔE_f (raw): -172 meV/atom
energy above the lowest structure with this stoichiometry: 0.000 eV per atom

Cell: 3.208 4.970 11.932 Å, 90.00 90.00 90.00°
Space group Immm (No. 71)
Unique sites:
1 Ca 0.000 0.000 0.000
2 Zr 0.000 0.500 0.218
3 Br 0.000 0.000 0.500

***

(20)
A plane-wave DFT calculation with SCAN was carried out for a PBEsol-optimized structure of NbAgAs3.

formation energy: 1103 meV per atom

Cell: 4.818 4.818 4.818 Å, 90.00 90.00 90.00°
Space group Pm-3m (No. 221)
Unique sites:
1 Nb 0.000 0.000 0.000
2 Ag 0.500 0.500 0.500
3 As 0.000 0.500 0.500